No. 1
VASP calculation (GGA-PBEsol) on an optimized crystal structure of Sc3TlS.

Cell lengths 4.756, 4.756, 4.756 Å; angles 90.00, 90.00, 90.00 degrees
Atoms (fractional coordinates):
Sc: 0.000 0.000 0.500
Sc: 0.000 0.500 0.000
Sc: 0.500 0.000 0.000
Tl: 0.500 0.500 0.500
S: 0.000 0.000 0.000

Properties
The calculation puts the size of the total moment at 0.00 μB per formula unit. As for the symmetry: Pm-3m, No. 221. The value obtained for the formation energy (no corrections) is -0.9262 eV per atom.

=====

No. 2
VASP calculation (GGA-PBEsol) on an optimized crystal structure of ScWS3.

Cell lengths 4.621, 4.621, 4.621 Å; angles 90.00, 90.00, 90.00 degrees
Atoms (fractional coordinates):
Sc: 0.000 0.000 0.000
W: 0.500 0.500 0.500
S: 0.000 0.500 0.500
S: 0.500 0.000 0.500
S: 0.500 0.500 0.000

Properties
The calculation puts the size of the total moment at 0.68 μB per formula unit. As for the symmetry: Pm-3m, No. 221. The value obtained for the formation energy (no corrections) is -0.3167 eV per atom.

=====

No. 3
VASP calculation (GGA-PBEsol) on an optimized crystal structure of YScS2.

Cell lengths 3.743, 3.743, 18.465 Å; angles 90.00, 90.00, 120.00 degrees
Atoms (fractional coordinates):
Y: 0.000 0.000 0.000
Y: 0.333 0.667 0.667
Y: 0.667 0.333 0.333
Sc: 0.000 0.000 0.500
Sc: 0.333 0.667 0.167
Sc: 0.667 0.333 0.833
S: 0.000 0.000 0.244
S: 0.000 0.000 0.756
S: 0.333 0.667 0.422
S: 0.333 0.667 0.911
S: 0.667 0.333 0.089
S: 0.667 0.333 0.578

Properties
The calculation puts the size of the total moment at 0.00 μB per formula unit. As for the symmetry: R-3m, No. 166. The value obtained for the formation energy (no corrections) is -2.0502 eV per atom.

=====

No. 4
VASP calculation (GGA-PBEsol) on an optimized crystal structure of ScZnS2.

Cell lengths 3.648, 3.648, 22.050 Å; angles 90.00, 90.00, 120.00 degrees
Atoms (fractional coordinates):
Sc: 0.000 0.000 0.000
Sc: 0.333 0.667 0.667
Sc: 0.667 0.333 0.333
Zn: 0.000 0.000 0.500
Zn: 0.333 0.667 0.167
Zn: 0.667 0.333 0.833
S: 0.000 0.000 0.398
S: 0.000 0.000 0.602
S: 0.333 0.667 0.065
S: 0.333 0.667 0.268
S: 0.667 0.333 0.732
S: 0.667 0.333 0.935

Properties
The calculation puts the size of the total moment at 0.00 μB per formula unit. As for the symmetry: R-3m, No. 166. The value obtained for the formation energy (no corrections) is -1.1087 eV per atom.

=====

No. 5
VASP calculation (GGA-PBEsol) on an optimized crystal structure of Sc2ZnS4.

Cell lengths 7.351, 7.351, 7.351 Å; angles 60.00, 60.00, 60.00 degrees
Atoms (fractional coordinates):
Sc: 0.000 0.000 0.000
Sc: 0.000 0.000 0.500
Sc: 0.000 0.500 0.000
Sc: 0.500 0.000 0.000
Zn: 0.375 0.375 0.375
Zn: 0.625 0.625 0.625
S: 0.237 0.754 0.754
S: 0.246 0.246 0.246
S: 0.246 0.246 0.763
S: 0.246 0.763 0.246
S: 0.754 0.237 0.754
S: 0.754 0.754 0.237
S: 0.754 0.754 0.754
S: 0.763 0.246 0.246

Properties
The calculation puts the size of the total moment at 0.00 μB per formula unit. As for the symmetry: Fd-3m, No. 227. The value obtained for the formation energy (no corrections) is -1.6200 eV per atom.

=====

No. 6
VASP calculation (GGA-PBEsol) on an optimized crystal structure of SiSeS3.

Cell lengths 4.443, 4.443, 4.443 Å; angles 90.00, 90.00, 90.00 degrees
Atoms (fractional coordinates):
Si: 0.000 0.000 0.000
Se: 0.500 0.500 0.500
S: 0.000 0.000 0.500
S: 0.000 0.500 0.000
S: 0.500 0.000 0.000

Properties
The calculation puts the size of the total moment at 0.00 μB per formula unit. As for the symmetry: Pm-3m, No. 221. The value obtained for the formation energy (no corrections) is 0.3786 eV per atom.

=====

- The highest size of the total moment belongs to which entry?
  ScWS3

=====

- Look up the size of the total moment of the fourth one.
  0.00 μB per formula unit